--- A ---
# La8Tm2Cd (PBE, optimized geometry)
data_La8Tm2Cd
_cell_length_a 9.6248
_cell_length_b 9.6248
_cell_length_c 8.1721
_cell_angle_alpha 104.73
_cell_angle_beta 104.73
_cell_angle_gamma 30.84
_symmetry_space_group_name_H-M 'P 1'
_symmetry_Int_Tables_number 1
_symmetry_space_group_name_Hall 'P 1'
loop_
_atom_site_label
_atom_site_fract_x
_atom_site_fract_y
_atom_site_fract_z
_atom_site_occupancy
La1 0.0457 0.0457 0.2283 1
La2 0.1377 0.1377 0.6809 1
La3 0.3228 0.3228 0.5901 1
La4 0.4074 0.4074 0.0476 1
La5 0.5926 0.5926 0.9524 1
La6 0.6772 0.6772 0.4099 1
La7 0.8623 0.8623 0.3191 1
La8 0.9543 0.9543 0.7717 1
Tm1 0.2266 0.2266 0.1345 1
Tm2 0.7734 0.7734 0.8655 1
Cd1 0.5000 0.5000 0.5000 1
# V ... 34.036 Å³ per atom
# SG ... C2/m (12)
# Magnetization ... 0.0000 μB/atom

***

--- B ---
# La8Tm2Cd (PBE, optimized geometry)
data_La8Tm2Cd
_cell_length_a 9.7313
_cell_length_b 9.7313
_cell_length_c 6.1892
_cell_angle_alpha 103.10
_cell_angle_beta 103.10
_cell_angle_gamma 41.15
_symmetry_space_group_name_H-M 'P 1'
_symmetry_Int_Tables_number 1
_symmetry_space_group_name_Hall 'P 1'
loop_
_atom_site_label
_atom_site_fract_x
_atom_site_fract_y
_atom_site_fract_z
_atom_site_occupancy
La1 0.0332 0.0332 0.2801 1
La2 0.0762 0.6108 0.0108 1
La3 0.3892 0.9238 0.9892 1
La4 0.3982 0.3982 0.4731 1
La5 0.6018 0.6018 0.5269 1
La6 0.6108 0.0762 0.0108 1
La7 0.9238 0.3892 0.9892 1
La8 0.9668 0.9668 0.7199 1
Tm1 0.2181 0.2181 0.5396 1
Tm2 0.7819 0.7819 0.4604 1
Cd1 0.5000 0.5000 0.0000 1
# V ... 34.016 Å³ per atom
# SG ... C2/m (12)
# Magnetization ... 0.0000 μB/atom

***

Which one sits at the bottom of the stability order? B does.

***

--- A ---
# La4TmCd (PBE, optimized geometry)
data_La4TmCd
_cell_length_a 3.7509
_cell_length_b 3.7509
_cell_length_c 14.3153
_cell_angle_alpha 90.00
_cell_angle_beta 90.00
_cell_angle_gamma 90.00
_symmetry_space_group_name_H-M 'P 1'
_symmetry_Int_Tables_number 1
_symmetry_space_group_name_Hall 'P 1'
loop_
_atom_site_label
_atom_site_fract_x
_atom_site_fract_y
_atom_site_fract_z
_atom_site_occupancy
La1 0.0000 0.0000 0.1499 1
La2 0.0000 0.0000 0.8501 1
La3 0.5000 0.5000 0.3293 1
La4 0.5000 0.5000 0.6707 1
Tm1 0.0000 0.0000 0.5000 1
Cd1 0.5000 0.5000 0.0000 1
# V ... 33.567 Å³ per atom
# SG ... P4/mmm (123)
# Magnetization ... 0.0000 μB/atom

***

--- B ---
# La4TmCd (PBE, optimized geometry)
data_La4TmCd
_cell_length_a 6.5519
_cell_length_b 6.5519
_cell_length_c 5.7012
_cell_angle_alpha 90.00
_cell_angle_beta 90.00
_cell_angle_gamma 91.07
_symmetry_space_group_name_H-M 'P 1'
_symmetry_Int_Tables_number 1
_symmetry_space_group_name_Hall 'P 1'
loop_
_atom_site_label
_atom_site_fract_x
_atom_site_fract_y
_atom_site_fract_z
_atom_site_occupancy
La1 0.1723 0.8277 0.0000 1
La2 0.3308 0.3308 0.5000 1
La3 0.6692 0.6692 0.5000 1
La4 0.8277 0.1723 0.0000 1
Tm1 0.5000 0.5000 0.0000 1
Cd1 0.0000 0.0000 0.5000 1
# V ... 40.782 Å³ per atom
# SG ... Cmmm (65)
# Magnetization ... 0.0001 μB/atom

***

Which one sits at the bottom of the stability order? B does.